A relaxed structure of Y2HoCo9. Source: the Open Quantum Materials Database, functional PBE-GGA.

DFT formation energy: -2.078 eV per formula unit
total magnetization: 9.14 μB per formula unit
raw total energy: -250.63 eV/cell

a b c (Å): 4.9538 4.9538 24.2261
angles (deg): 90.00 90.00 120.00
Space group R-3m (No. 166, hexagonal axes)
Asymmetric unit:
Y  0.0000  0.0000  0.1397 (multiplicity 6)
Ho  0.0000  0.0000  0.0000 (multiplicity 3)
Co  0.0000  0.0000  0.3348 (multiplicity 6)
Co  0.0000  0.0000  0.5000 (multiplicity 3)
Co  0.0024  0.5012  0.9190 (multiplicity 18)